Entry 1:
A geometry-optimized Y4AgSe2S structure, computed with PBE-GGA.

The value obtained for the uncorrected energy is -51.16 eV per cell. As for the density of states at the Fermi level: 5.058 states/eV per cell. As for the space group: No. 10. Its energy relative to the elements, uncorrected is -11.4 eV/f.u.

a b c (Å): 7.096 4.004 7.159
angles (deg): 90.00 108.67 90.00
Sites, in units of the cell vectors:
Y  0.240  0.000  0.237
Y  0.248  0.500  0.758
Y  0.752  0.500  0.242
Y  0.760  0.000  0.763
Ag  0.000  0.000  0.500
Se  0.500  0.000  0.000
Se  0.500  0.500  0.500
S  0.000  0.500  0.000

---

Entry 2:
A geometry-optimized NaTl2Cd2Pb structure, computed with PBE-GGA.

The value obtained for the uncorrected energy is -23.43 eV per cell. As for the density of states at the Fermi level: 4.924 states/eV per cell. As for the space group: No. 26. As for the calculated formation energy: -2.0 kJ/mol of atoms.

a b c (Å): 5.041 9.171 7.572
angles (deg): 90.00 90.00 90.00
Sites, in units of the cell vectors:
Na  0.000  0.046  0.000
Na  0.000  0.954  0.500
Tl  0.000  0.323  0.343
Tl  0.000  0.677  0.843
Tl  0.500  0.450  0.032
Tl  0.500  0.550  0.532
Cd  0.000  0.353  0.761
Cd  0.000  0.647  0.261
Cd  0.500  0.148  0.279
Cd  0.500  0.852  0.779
Pb  0.500  0.174  0.693
Pb  0.500  0.826  0.193

---

Entry 3:
A geometry-optimized Si2SbOs structure, computed with PBE-GGA.

The value obtained for the uncorrected energy is -24.23 eV per cell. As for the density of states at the Fermi level: 2.484 states/eV per cell. As for the space group: No. 65. Its energy relative to the elements, uncorrected is 2.0 eV/f.u.

a b c (Å): 2.961 2.961 9.004
angles (deg): 90.00 90.00 114.39
Sites, in units of the cell vectors:
Si  0.000  0.000  0.205
Si  0.000  0.000  0.795
Sb  0.500  0.500  0.500
Os  0.500  0.500  0.000

---

Entry 4:
A geometry-optimized CaPr2Er4 structure, computed with PBE-GGA.

The value obtained for the uncorrected energy is -28.09 eV per cell. As for the density of states at the Fermi level: 14.010 states/eV per cell. As for the space group: No. 139. As for the calculated formation energy: 23.8 kJ/mol of atoms.

a b c (Å): 6.901 6.901 6.901
angles (deg): 103.41 103.41 122.42
Sites, in units of the cell vectors:
Ca  0.000  0.000  0.000
Pr  0.250  0.750  0.500
Pr  0.750  0.250  0.500
Er  0.303  0.303  0.606
Er  0.303  0.697  0.000
Er  0.697  0.303  0.000
Er  0.697  0.697  0.394

---

Entry 5:
A geometry-optimized ScTaMo2 structure, computed with PBE-GGA.

The value obtained for the uncorrected energy is -38.81 eV per cell. As for the density of states at the Fermi level: 3.056 states/eV per cell. As for the space group: No. 160. As for the calculated formation energy: 24.9 kJ/mol of atoms.

a b c (Å): 9.187 9.187 9.187
angles (deg): 19.16 19.16 19.16
Sites, in units of the cell vectors:
Sc  0.000  0.000  0.000
Ta  0.239  0.239  0.239
Mo  0.493  0.493  0.493
Mo  0.755  0.755  0.755

---

Entry 6:
A geometry-optimized Sc3IrCl structure, computed with PBE-GGA.

The value obtained for the uncorrected energy is -31.76 eV per cell. As for the density of states at the Fermi level: 6.725 states/eV per cell. As for the space group: No. 221. Its energy relative to the elements, uncorrected is -2.1 eV/f.u.

a b c (Å): 5.108 5.108 5.108
angles (deg): 90.00 90.00 90.00
Sites, in units of the cell vectors:
Sc  0.000  0.000  0.500
Sc  0.000  0.500  0.000
Sc  0.500  0.000  0.000
Ir  0.000  0.000  0.000
Cl  0.500  0.500  0.500

---

Entry 7:
A geometry-optimized PS3F structure, computed with PBE-GGA.

The value obtained for the uncorrected energy is -44.89 eV per cell. As for the density of states at the Fermi level: 0.000 states/eV per cell. As for the space group: No. 1. Its energy relative to the elements, uncorrected is -2.8 eV/f.u.

a b c (Å): 6.255 6.415 6.936
angles (deg): 70.45 89.98 89.66
Sites, in units of the cell vectors:
P  0.000  0.000  0.000
P  0.101  0.000  0.500
S  0.203  0.298  0.270
S  0.203  0.864  0.826
S  0.304  0.166  0.059
S  0.796  0.168  0.559
S  0.896  0.299  0.770
S  0.899  0.865  0.325
F  0.311  0.847  0.482
F  0.791  0.848  0.981

---

Entry 8:
A geometry-optimized TlAg2PdF8 structure, computed with PBE-GGA.

The value obtained for the uncorrected energy is -44.79 eV per cell. As for the density of states at the Fermi level: 1.100 states/eV per cell. As for the space group: No. 2. Its energy relative to the elements, uncorrected is -16.6 eV/f.u.

a b c (Å): 5.091 5.505 6.989
angles (deg): 89.29 89.51 88.83
Sites, in units of the cell vectors:
Tl  0.000  0.000  0.000
Ag  0.498  0.499  0.263
Ag  0.502  0.501  0.737
Pd  0.000  0.000  0.500
F  0.183  0.176  0.267
F  0.187  0.182  0.743
F  0.274  0.736  0.500
F  0.298  0.719  0.999
F  0.702  0.281  0.001
F  0.726  0.264  0.500
F  0.813  0.818  0.257
F  0.817  0.824  0.733